[1]
The following is a DFT calculation (PBE) of a relaxed structure of Tl2PtBr.

As for the theoretical density: 11.29 g/cm3. The distance to the lowest polymorph of the same formula is 138 meV/atom. Its energy relative to the elements, uncorrected is -0.093 eV per atom. The volume comes out at 25.15 Å³/atom. The magnetic moment is 0.00 μB per formula unit.

a b c (Å): 4.8064 5.2990 7.8984
angles (deg): 90.00 90.00 90.00
Space group Cmmm (No. 65)
Symmetry-distinct sites (fractional):
Tl1 0.0000 0.0000 0.2116 x4
Pt1 0.0000 0.5000 0.0000 x2
Br1 0.0000 0.5000 0.5000 x2

=====

[2]
The following is a DFT calculation (PBE) of a relaxed structure of ZrBeBr.

As for the theoretical density: 4.39 g/cm3. The distance to the lowest polymorph of the same formula is 815 meV/atom. Its energy relative to the elements, uncorrected is -0.010 eV per atom. The volume comes out at 22.72 Å³/atom. The magnetic moment is 0.00 μB per formula unit.

a b c (Å): 3.3666 3.3666 6.9435
angles (deg): 90.00 90.00 120.00
Space group P3m1 (No. 156)
Symmetry-distinct sites (fractional):
Zr1 0.0000 0.0000 0.0000 x1
Be1 0.3333 0.6667 0.2660 x1
Br1 0.6667 0.3333 0.7210 x1

=====

[3]
The following is a DFT calculation (PBE) of a relaxed structure of SrCdIn2B.

As for the theoretical density: 4.11 g/cm3. The volume comes out at 35.62 Å³/atom. The magnetic moment is 0.76 μB per formula unit. The calculation puts the formation energy at 5.318 eV/f.u.

a b c (Å): 5.3207 5.3207 6.2906
angles (deg): 90.00 90.00 90.00
Space group P4/mmm (No. 123)
Symmetry-distinct sites (fractional):
Sr1 0.0000 0.0000 0.0000 x1
Cd1 0.0000 0.0000 0.5000 x1
In1 0.0000 0.5000 0.5000 x2
B1 0.5000 0.5000 0.0000 x1

=====

[4]
The following is a DFT calculation (PBE) of a relaxed structure of NaGeSbI2.

As for the theoretical density: 3.94 g/cm3. The distance to the lowest polymorph of the same formula is 0 meV/atom. Its energy relative to the elements, uncorrected is -0.069 eV per atom. The volume comes out at 39.72 Å³/atom. The magnetic moment is 1.65 μB per formula unit.

a b c (Å): 5.9423 5.9423 5.6242
angles (deg): 90.00 90.00 90.00
Space group P4/mmm (No. 123)
Symmetry-distinct sites (fractional):
Na1 0.0000 0.0000 0.0000 x1
Ge1 0.5000 0.5000 0.5000 x1
Sb1 0.5000 0.5000 0.0000 x1
I1 0.0000 0.5000 0.5000 x2

=====

| no. | total DFT energy (no corrections) (Ha/atom) |
| --- | --- |
| 1 | -0.118 |
| 2 | -0.171 |
| 3 | -0.069 |
| 4 | -0.099 |